No. 1
Crystalline VIrN2F at its relaxed geometry. Source: Alexandria, functional PBE+U.

Cell: 3.900 3.900 3.659 Å, 90.00 90.00 90.00°
Site moments in Bohr magnetons follow the coordinates.
Fractional coordinates of all 5 atoms:
Ir 0.500 0.500 0.500  0.63
N 0.500 0.000 0.000  0.00
N 0.000 0.500 0.000  0.00
F 0.000 0.000 0.500  0.01
V 0.000 0.000 0.000  -0.02

Computed properties:
* final energy: -0.457 Ry/atom
* energy above the most stable polymorph in this dataset: 0.040 eV per atom
* volume: 55.67 Å³/f.u.
* space-group type: P4/mmm, No. 123

=====

No. 2
Crystalline VIrN2F at its relaxed geometry. Source: Alexandria, functional PBE+U.

Cell: 3.726 3.726 5.467 Å, 90.00 90.00 90.00°
Site moments in Bohr magnetons follow the coordinates.
Fractional coordinates of all 5 atoms:
Ir 0.000 0.000 0.000  -0.01
F 0.000 0.000 0.500  -0.02
N 0.000 0.500 0.000  -0.15
N 0.500 0.000 0.000  -0.15
V 0.500 0.500 0.500  -0.98

Computed properties:
* final energy: -0.460 Ry/atom
* energy above the most stable polymorph in this dataset: 0.000 eV per atom
* volume: 75.90 Å³/f.u.
* space-group type: P4/mmm, No. 123